No. 1
{"formula": "BaMg2Tl", "functional": "PBE", "state": "optimized geometry", "space_group": "R-3m", "energy_ev_per_atom": -1.760, "vol_a3_per_cell": 130, "de_polymorph_mev_per_atom": 296.0, "ef_ev_per_fu": 0.440, "lattice_angstrom": [[11.126, 0.235, 0.139], [10.432, 3.873, 0.139], [10.432, 1.988, 3.327]], "species": ["Ba", "Mg", "Mg", "Tl"], "frac_coords": [[0.750, 0.750, 0.750], [0.989, 0.989, 0.989], [0.511, 0.511, 0.511], [0.250, 0.250, 0.250]]}


No. 2
{"formula": "TcPt2Br", "functional": "PBE", "state": "optimized geometry", "space_group": "R-3m", "energy_ev_per_atom": -5.698, "raw_formation_energy_ev_per_atom": 0.33, "vol_a3_per_cell": 69, "de_polymorph_mev_per_atom": 122.1, "lattice_angstrom": [[-5.654, 7.580, -1.613], [-6.888, 6.625, 0.830], [-4.580, 8.374, 0.960]], "species": ["Br", "Tc", "Pt", "Pt"], "frac_coords": [[0.750, 0.750, 0.750], [0.250, 0.250, 0.250], [0.991, 0.991, 0.991], [0.509, 0.509, 0.509]]}


No. 3
{"formula": "NaTbS2", "functional": "PBE", "state": "optimized geometry", "space_group": "R-3m", "energy_ev_per_atom": -5.397, "raw_formation_energy_ev_per_atom": -1.85, "vol_a3_per_cell": 93, "lattice_angstrom": [[4.004, 0.000, 0.000], [2.002, 3.468, 0.000], [2.002, 1.156, 6.681]], "species": ["Na", "S", "S", "Tb"], "frac_coords": [[0.500, 0.500, 0.500], [0.257, 0.257, 0.228], [0.743, 0.743, 0.772], [0.000, 0.000, 0.000]]}


No. 4
{"formula": "Co5Rh", "functional": "PBE", "state": "optimized geometry", "space_group": "F-43m", "energy_ev_per_atom": -7.028, "vol_a3_per_cell": 71, "ef_ev_per_fu": 0.714, "lattice_angstrom": [[0.000, 3.290, 3.290], [3.290, 0.000, 3.290], [3.290, 3.290, 0.000]], "species": ["Co", "Co", "Co", "Co", "Co", "Rh"], "frac_coords": [[0.874, 0.375, 0.375], [0.750, 0.750, 0.750], [0.375, 0.874, 0.375], [0.375, 0.375, 0.375], [0.375, 0.375, 0.874], [0.000, 0.000, 0.000]]}


No. 5
{"formula": "LuMgGaHg", "functional": "PBE", "state": "optimized geometry", "space_group": "F-43m", "energy_ev_per_atom": -2.769, "vol_a3_per_cell": 86, "ef_ev_per_fu": -1.630, "lattice_angstrom": [[-4.621, 1.723, 0.445], [-3.118, -0.255, -3.838], [-3.818, -3.152, 0.117]], "species": ["Mg", "Lu", "Hg", "Ga"], "frac_coords": [[0.250, 0.250, 0.250], [0.750, 0.750, 0.750], [0.000, 0.000, 0.000], [0.500, 0.500, 0.500]]}


No. 6
{"formula": "NaSiHgBr2", "functional": "PBE", "state": "optimized geometry", "space_group": "P4/mmm", "energy_ev_per_atom": -2.094, "raw_formation_energy_ev_per_atom": -0.02, "vol_a3_per_cell": 181, "lattice_angstrom": [[-3.844, 0.927, -4.706], [-1.073, -4.681, -0.046], [-4.596, 1.015, 3.954]], "species": ["Na", "Si", "Hg", "Br", "Br"], "frac_coords": [[0.500, 0.500, 0.500], [0.000, 0.500, 0.000], [0.000, 0.000, 0.000], [0.000, 0.000, 0.500], [0.500, 0.000, 0.000]]}


No. 7
{"formula": "Ag2PtF", "functional": "PBE", "state": "optimized geometry", "space_group": "Fm-3m", "energy_ev_per_atom": -3.484, "raw_formation_energy_ev_per_atom": -0.08, "vol_a3_per_cell": 64, "de_polymorph_mev_per_atom": 257.9, "lattice_angstrom": [[-4.096, 0.426, -1.805], [-3.127, 2.472, 2.079], [-1.286, 3.936, -1.752]], "species": ["Ag", "Ag", "Pt", "F"], "frac_coords": [[0.250, 0.250, 0.250], [0.750, 0.750, 0.750], [0.500, 0.500, 0.500], [0.000, 0.000, 0.000]]}


No. 8
{"formula": "Sr2DyP3Pt12", "functional": "PBE", "state": "optimized geometry", "space_group": "R-3m", "energy_ev_per_atom": -5.779, "vol_a3_per_cell": 371, "ef_ev_per_fu": -7.339, "lattice_angstrom": [[-3.720, 6.844, 0.079], [-3.680, 1.809, -6.623], [-7.768, -0.492, 0.323]], "species": ["Sr", "Sr", "Dy", "P", "P", "P", "Pt", "Pt", "Pt", "Pt", "Pt", "Pt", "Pt", "Pt", "Pt", "Pt", "Pt", "Pt"], "frac_coords": [[0.600, 0.600, 0.600], [0.400, 0.400, 0.400], [0.000, 0.000, 0.000], [0.500, 0.000, 0.000], [0.000, 0.500, 0.000], [0.000, 0.000, 0.500], [0.334, 0.334, 0.903], [0.865, 0.865, 0.395], [0.395, 0.865, 0.865], [0.903, 0.334, 0.334], [0.865, 0.395, 0.865], [0.334, 0.903, 0.334], [0.666, 0.666, 0.097], [0.135, 0.135, 0.605], [0.605, 0.135, 0.135], [0.097, 0.666, 0.666], [0.135, 0.605, 0.135], [0.666, 0.097, 0.666]]}


No. 9
{"formula": "Be5Ni", "functional": "PBE", "state": "optimized geometry", "space_group": "C2/m", "energy_ev_per_atom": -4.256, "vol_a3_per_cell": 50, "ef_ev_per_fu": -1.123, "lattice_angstrom": [[-1.252, -2.933, 2.603], [-1.041, -3.982, 0.071], [3.974, -2.553, 1.388]], "species": ["Be", "Be", "Be", "Be", "Be", "Ni"], "frac_coords": [[0.973, 0.973, 0.057], [0.306, 0.306, 0.389], [0.638, 0.638, 0.721], [0.638, 0.638, 0.223], [0.973, 0.973, 0.554], [0.305, 0.305, 0.889]]}


No. 10
{"formula": "RbGePC2", "functional": "PBE", "state": "optimized geometry", "space_group": "P4/mmm", "energy_ev_per_atom": -3.513, "vol_a3_per_cell": 130, "ef_ev_per_fu": 11.876, "lattice_angstrom": [[4.147, 0.000, 0.000], [0.000, 7.584, 0.000], [0.000, 0.000, 4.147]], "species": ["P", "Ge", "C", "C", "Rb"], "frac_coords": [[0.500, 0.500, 0.500], [0.000, 0.000, 0.000], [0.000, 0.000, 0.500], [0.500, 0.000, 0.000], [0.000, 0.500, 0.000]]}


No. 11
{"formula": "SbIr", "functional": "PBE", "state": "optimized geometry", "space_group": "P6_3/m", "energy_ev_per_atom": -6.366, "raw_formation_energy_ev_per_atom": 0.13, "vol_a3_per_cell": 344, "lattice_angstrom": [[-0.149, -4.061, 8.870], [-2.463, -5.282, -7.825], [3.984, -1.166, -0.467]], "species": ["Sb", "Sb", "Sb", "Sb", "Sb", "Sb", "Ir", "Ir", "Ir", "Ir", "Ir", "Ir"], "frac_coords": [[0.730, 0.105, 0.250], [0.625, 0.730, 0.750], [0.895, 0.625, 0.250], [0.270, 0.895, 0.750], [0.375, 0.270, 0.250], [0.105, 0.375, 0.750], [0.960, 0.390, 0.250], [0.570, 0.960, 0.750], [0.610, 0.570, 0.250], [0.040, 0.610, 0.750], [0.430, 0.040, 0.250], [0.390, 0.430, 0.750]]}


No. 12
{"formula": "CsSeCl4", "functional": "PBE", "state": "optimized geometry", "space_group": "Pmn2_1", "energy_ev_per_atom": -2.695, "raw_formation_energy_ev_per_atom": -0.74, "vol_a3_per_cell": 455, "de_polymorph_mev_per_atom": 115.5, "lattice_angstrom": [[8.255, 0.000, 0.000], [0.000, 5.802, 0.000], [0.000, 0.000, 9.491]], "species": ["Cs", "Cs", "Se", "Se", "Cl", "Cl", "Cl", "Cl", "Cl", "Cl", "Cl", "Cl"], "frac_coords": [[0.047, 0.757, 0.000], [0.547, 0.243, 0.500], [0.504, 0.295, 0.000], [0.004, 0.705, 0.500], [0.496, 0.670, 0.000], [0.787, 0.259, 0.000], [0.269, 0.236, 0.818], [0.769, 0.764, 0.682], [0.287, 0.741, 0.500], [0.996, 0.330, 0.500], [0.769, 0.764, 0.318], [0.269, 0.236, 0.182]]}